YCd2Br: relaxed, PBE-GGA.

Properties
energy relative to the elements, uncorrected	-0.366	eV/atom
space-group type	I-4m2 (119)

Lattice parameters (Å, degrees): 5.7668 5.7668 5.7668 132.54 132.54 69.37
Fractional positions:
Y 0.5000 0.5000 0.0000
Br 0.7500 0.2500 0.5000
Cd 0.0000 0.0000 0.0000
Cd 0.2500 0.7500 0.5000

PtCI2N: relaxed, PBE-GGA.

Properties
energy relative to the elements, uncorrected	1.806	eV/atom
space-group type	P4/mmm (123)

Lattice parameters (Å, degrees): 5.6812 5.6812 3.7166 90.00 90.00 90.00
Last column: magnetic moment on the atom in μB.
Fractional positions:
I 0.0000 0.5000 0.0000  -0.12
I 0.5000 0.0000 0.0000  -0.12
C 0.5000 0.5000 0.5000  0.76
Pt 0.0000 0.0000 0.0000  -0.03
N 0.0000 0.0000 0.5000  -0.03

Ti2BeNb2: relaxed, PBE-GGA.

Properties
energy of formation	1.41	eV per formula unit
space-group type	P4/mbm (127)

Lattice parameters (Å, degrees): 6.6551 6.6551 3.8279 90.00 90.00 90.00
Fractional positions:
Be 0.0000 0.0000 0.0000
Be 0.5000 0.5000 0.0000
Nb 0.3520 0.8520 0.0000
Nb 0.8520 0.6480 0.0000
Nb 0.6480 0.1480 0.0000
Nb 0.1480 0.3520 0.0000
Ti 0.1626 0.6626 0.5000
Ti 0.6626 0.8374 0.5000
Ti 0.8374 0.3374 0.5000
Ti 0.3374 0.1626 0.5000

| no. | uncorrected energy (eV/cell) | total magnetic moment (μB/cell) |
| --- | --- | --- |
| 1 | -11.4 | 0.00 |
| 2 | -17.7 | 1.11 |
| 3 | -76.5 | 0.00 |